Entry 1:
Computed, not measured: crystalline CsLa3Cd at its relaxed geometry at the PBE-GGA level of DFT.

abc: 6.2105 6.2105 6.2105
angles: 90.00 90.00 90.00
Closest atoms and distances in Å follow each position.
Fractional positions:
Cs1 0.0000 0.0000 0.0000  12 La 4.39
La1 0.0000 0.5000 0.5000  2 Cd 3.11
La2 0.5000 0.0000 0.5000  2 Cd 3.11
La3 0.5000 0.5000 0.0000  2 Cd 3.11
Cd1 0.5000 0.5000 0.5000  6 La 3.11

Properties
Energy of formation, meV per atom: 406
Crystal system: cubic
Distance to the lowest polymorph of the same formula, eV per formula unit: 0.00
VASP energy, eV per atom: -2.904
M_tot, μB per atom: 0.1763
Calculated volume, Å³ per cell: 239.5

Entry 2:
Computed, not measured: crystalline Al2TeP at its relaxed geometry at the PBE-GGA level of DFT.

abc: 5.2877 5.2877 6.2308
angles: 120.88 120.88 41.23
Closest atoms and distances in Å follow each position.
Fractional positions:
Al1 0.1502 0.1502 0.3024  2 P 2.48
Al2 0.8498 0.8498 0.6976  2 P 2.48
Te1 0.5000 0.5000 0.5000  6 Al 2.97-3.03, 2 P 3.12
P1 0.5000 0.5000 0.0000  4 Al 2.48

Properties
E_form (uncorrected), kJ per mole of atoms: 8.1
Crystal system: monoclinic
Distance to the lowest polymorph of the same formula, eV per formula unit: 1.46
VASP energy, eV per atom: -3.925
M_tot, μB per atom: 0.0000
Calculated volume, Å³ per cell: 96.0